1.
# Re3WBr PBE relaxed
data_Re3WBr
_chemical_formula_sum 'Re3 W1 Br1'
_symmetry_space_group_name_H-M 'P m -3 m'
_symmetry_Int_Tables_number 221
_symmetry_space_group_name_Hall '-P 4 2 3'
_cell_length_a 4.492
_cell_length_b 4.492
_cell_length_c 4.492
_cell_angle_alpha 90.00
_cell_angle_beta 90.00
_cell_angle_gamma 90.00
loop_
_atom_site_label
_atom_site_fract_x
_atom_site_fract_y
_atom_site_fract_z
Re1 0.000 0.000 0.500
W1 0.500 0.500 0.500
Br1 0.000 0.000 0.000
# Calculated volume, Å³ per atom: 18.13
# Relative energy among the computed polymorphs, eV/f.u.: 0.000
# Formation energy from raw total energies, eV/f.u.: 12.356

***

2.
# Re4WBr PBE relaxed
data_Re4WBr
_chemical_formula_sum 'Re16 W4 Br4'
_symmetry_space_group_name_H-M 'F -4 3 m'
_symmetry_Int_Tables_number 216
_symmetry_space_group_name_Hall 'F -4 2 3'
_cell_length_a 7.395
_cell_length_b 7.395
_cell_length_c 7.395
_cell_angle_alpha 90.00
_cell_angle_beta 90.00
_cell_angle_gamma 90.00
loop_
_atom_site_label
_atom_site_fract_x
_atom_site_fract_y
_atom_site_fract_z
Re1 0.125 0.125 0.125
W1 0.250 0.250 0.750
Br1 0.000 0.000 0.500
# Calculated volume, Å³ per atom: 16.85
# Formation energy from raw total energies, eV/f.u.: 6.850

***

3.
# ReW2Br PBE relaxed
data_ReW2Br
_chemical_formula_sum 'Re2 W4 Br2'
_symmetry_space_group_name_H-M 'I m m 2'
_symmetry_Int_Tables_number 44
_cell_length_a 2.992
_cell_length_b 4.594
_cell_length_c 9.338
_cell_angle_alpha 90.00
_cell_angle_beta 90.00
_cell_angle_gamma 90.00
loop_
_symmetry_equiv_pos_as_xyz
'x,y,z'
'-x,-y,z'
'-x,y,z'
'x,-y,z'
'x+1/2,y+1/2,z+1/2'
'-x+1/2,-y+1/2,z+1/2'
'-x+1/2,y+1/2,z+1/2'
'x+1/2,-y+1/2,z+1/2'
loop_
_atom_site_label
_atom_site_fract_x
_atom_site_fract_y
_atom_site_fract_z
Re1 0.000 0.000 0.000
W1 0.000 0.000 0.527
W2 0.000 0.500 0.747
Br1 0.000 0.500 0.260
# Calculated volume, Å³ per atom: 16.05
# Relative energy among the computed polymorphs, eV/f.u.: 1.376
# Formation energy from raw total energies, eV/f.u.: 3.857